# 1
# Nb2AsOsSe SCAN PBEsol geometry
data_Nb2AsOsSe
_chemical_formula_sum 'Nb2 As1 Os1 Se1'
_space_group_name_H-M_alt 'P 4/m m m'
_space_group_IT_number 123
_space_group_name_Hall '-P 4 2'
_cell_length_a 4.966
_cell_length_b 4.966
_cell_length_c 4.433
_cell_angle_alpha 90.00
_cell_angle_beta 90.00
_cell_angle_gamma 90.00
loop_
_atom_site_label
_atom_site_fract_x
_atom_site_fract_y
_atom_site_fract_z
Nb1 0.000 0.500 0.000
As1 0.000 0.000 0.500
Os1 0.500 0.500 0.000
Se1 0.500 0.500 0.500
# **Spin magnetization**: 0.0 μB per formula unit
# **ΔE_f (raw)**: 0.994 eV/atom
# **Calculated density**: 8.05 Mg/m³

---

# 2
# Nb3AsP SCAN PBEsol geometry
data_Nb3AsP
_chemical_formula_sum 'Nb3 As1 P1'
_space_group_name_H-M_alt 'P m -3 m'
_space_group_IT_number 221
_space_group_name_Hall '-P 4 2 3'
_cell_length_a 4.570
_cell_length_b 4.570
_cell_length_c 4.570
_cell_angle_alpha 90.00
_cell_angle_beta 90.00
_cell_angle_gamma 90.00
loop_
_atom_site_label
_atom_site_fract_x
_atom_site_fract_y
_atom_site_fract_z
Nb1 0.000 0.000 0.500
As1 0.500 0.500 0.500
P1 0.000 0.000 0.000
# **Spin magnetization**: 0.0 μB per formula unit
# **Total DFT energy (no corrections)**: -128.38 eV per cell
# **Calculated density**: 6.69 Mg/m³

---

# 3
# NbSbAsP2 SCAN PBEsol geometry
data_NbSbAsP2
_chemical_formula_sum 'Nb1 Sb1 As1 P2'
_space_group_name_H-M_alt 'P 4/m m m'
_space_group_IT_number 123
_space_group_name_Hall '-P 4 2'
_cell_length_a 4.659
_cell_length_b 4.659
_cell_length_c 5.520
_cell_angle_alpha 90.00
_cell_angle_beta 90.00
_cell_angle_gamma 90.00
loop_
_atom_site_label
_atom_site_fract_x
_atom_site_fract_y
_atom_site_fract_z
Nb1 0.000 0.000 0.000
Sb1 0.000 0.000 0.500
As1 0.500 0.500 0.500
P1 0.000 0.500 0.000
# **Spin magnetization**: 1.0 μB per formula unit
# **ΔE_f (raw)**: 0.624 eV/atom
# **Calculated density**: 4.87 Mg/m³